i | First-principles (GGA-PBE) data for a relaxed structure of Tl2Os, as listed in the Alexandria database.

Properties
density = 13.03 g cm⁻³
size of the total moment = 0.0 μB/f.u.
D(E_F) = 3.124 states/eV/f.u.

a b c (Å): 5.7025 5.7025 10.8424
angles (deg): 90.00 90.00 120.00
Space group P6_3/mmc (No. 194)
One atom of each set of equivalent atoms:
Tl1 0.0000 0.0000 0.0000 x2
Tl2 0.1680 0.3360 0.2500 x6
Os1 0.3333 0.6667 0.0344 x4

ii | First-principles (GGA-PBE) data for a relaxed structure of Tl2Os, as listed in the Alexandria database.

Properties
density = 14.88 g cm⁻³
size of the total moment = 0.0 μB/f.u.
D(E_F) = 2.867 states/eV/f.u.

a b c (Å): 3.226 3.226 25.696
angles (deg): 90.00 90.00 90.00
Space group I4_1/amd (No. 141, origin choice 2)
One atom of each set of equivalent atoms:
Tl1 0.000 0.250 0.305 x8
Os1 0.000 0.250 0.875 x4

Ordering by calculated energy gives the sequence ii, i, with the first entry being the most stable.

i | First-principles (GGA-PBE) data for a relaxed structure of Tl2Os, as listed in the Alexandria database.

Properties
density = 13.12 g cm⁻³
size of the total moment = 0.0 μB/f.u.
D(E_F) = 2.323 states/eV/f.u.

a b c (Å): 2.931 30.105 3.436
angles (deg): 90.00 90.00 90.00
Space group Cmcm (No. 63)
One atom of each set of equivalent atoms:
Tl1 0.000 0.052 0.250 x4
Tl2 0.000 0.351 0.250 x4
Os1 0.000 0.270 0.750 x4

ii | First-principles (GGA-PBE) data for a relaxed structure of Tl2Os, as listed in the Alexandria database.

Properties
density = 12.46 g cm⁻³
size of the total moment = 0.0 μB/f.u.
D(E_F) = 1.810 states/eV/f.u.

a b c (Å): 4.112 18.225 4.262
angles (deg): 90.00 90.00 90.00
Space group Cmcm (No. 63)
One atom of each set of equivalent atoms:
Tl1 0.000 0.080 0.250 x4
Tl2 0.000 0.205 0.750 x4
Os1 0.000 0.469 0.250 x4

Ordering by calculated energy gives the sequence i, ii, with the first entry being the most stable.

i | First-principles (GGA-PBE) data for a relaxed structure of Tl2Os, as listed in the Alexandria database.

Properties
density = 13.55 g cm⁻³
size of the total moment = 0.2 μB/f.u.
D(E_F) = 2.790 states/eV/f.u.

a b c (Å): 3.158 10.259 9.060
angles (deg): 90.00 90.00 90.00
Space group Cmcm (No. 63)
One atom of each set of equivalent atoms:
Tl1 0.000 0.000 0.000 x4
Tl2 0.000 0.262 0.250 x4
Os1 0.000 0.468 0.750 x4

ii | First-principles (GGA-PBE) data for a relaxed structure of Tl2Os, as listed in the Alexandria database.

Properties
density = 12.49 g cm⁻³
size of the total moment = 0.0 μB/f.u.
D(E_F) = 2.277 states/eV/f.u.

a b c (Å): 12.985 2.995 8.205
angles (deg): 90.00 93.38 90.00
Space group Cm (No. 8)
One atom of each set of equivalent atoms:
Tl1 0.000 0.000 0.000 x2
Tl2 0.087 0.500 0.642 x2
Tl3 0.242 0.000 0.302 x2
Tl4 0.333 0.000 0.707 x2
Os1 0.055 0.500 0.291 x2
Os2 0.421 0.500 0.412 x2

iii | First-principles (GGA-PBE) data for a relaxed structure of Tl2Os, as listed in the Alexandria database.

Properties
density = 14.05 g cm⁻³
size of the total moment = 0.0 μB/f.u.
D(E_F) = 1.574 states/eV/f.u.

a b c (Å): 4.759 4.759 3.126
angles (deg): 90.00 90.00 90.00
Space group P4/mmm (No. 123)
One atom of each set of equivalent atoms:
Tl1 0.000 0.500 0.000 x2
Os1 0.000 0.000 0.500 x1

Ordering by calculated energy gives the sequence ii, i, iii, with the first entry being the most stable.